1.
{"formula": "NdRuF", "functional": "PBE-GGA", "state": "optimized geometry", "total_magnetization_mub_per_fu": 0.00, "total_energy_ev_per_fu": -21.31, "e_form_raw_ev_per_atom": -1.798, "spacegroup": "R-3m (166)", "lattice": [[4.125, 0.000, 0.000], [2.062, 3.572, 0.000], [2.062, 1.191, 7.945]], "species": ["Nd", "Nd", "F", "F", "Ru", "Ru"], "fractional_positions": [[0.591, 0.591, 0.228], [0.409, 0.409, 0.772], [0.305, 0.305, 0.085], [0.695, 0.695, 0.915], [0.842, 0.842, 0.474], [0.158, 0.158, 0.526]]}

2.
{"formula": "La2Pm7Er2", "functional": "PBE-GGA", "state": "optimized geometry", "total_magnetization_mub_per_fu": 0.00, "ef_ev_per_fu": 1.88, "total_energy_ev_per_fu": -50.36, "de_polymorph_ev_per_atom": 0.000, "spacegroup": "Imm2 (44)", "lattice": [[-3.151, -1.031, 1.466], [-3.857, -6.234, -8.190], [1.913, -10.776, 1.016]], "species": ["La", "La", "Pm", "Pm", "Pm", "Pm", "Pm", "Pm", "Pm", "Er", "Er"], "fractional_positions": [[0.704, 0.889, 0.702], [0.296, 0.298, 0.111], [0.832, 0.012, 0.324], [0.834, 0.509, 0.822], [0.500, 0.023, 0.977], [0.616, 0.471, 0.297], [0.384, 0.703, 0.529], [0.168, 0.676, 0.988], [0.166, 0.178, 0.491], [0.000, 0.762, 0.238], [0.500, 0.334, 0.666]]}

3.
{"formula": "Ag6Hg2Pd3", "functional": "PBE-GGA", "state": "optimized geometry", "total_magnetization_mub_per_fu": 0.00, "ef_ev_per_fu": 1.41, "total_energy_ev_per_fu": -31.88, "spacegroup": "I4/mmm (139)", "lattice": [[3.951, 0.000, 0.000], [0.000, 3.951, 0.000], [-1.976, -1.976, 13.947]], "species": ["Ag", "Ag", "Ag", "Ag", "Ag", "Ag", "Hg", "Hg", "Pd", "Pd", "Pd"], "fractional_positions": [[0.069, 0.569, 0.138], [0.569, 0.069, 0.138], [0.931, 0.431, 0.862], [0.431, 0.931, 0.862], [0.760, 0.760, 0.520], [0.240, 0.240, 0.480], [0.342, 0.342, 0.684], [0.658, 0.658, 0.316], [0.000, 0.000, 0.000], [0.857, 0.857, 0.713], [0.143, 0.143, 0.287]]}